[1]
An optimized crystal structure of VNi14Sb. Source: Alexandria, functional PBE-GGA.

Computed properties:
- M_tot: 3.3 Bohr magnetons per cell
- Uncorrected energy: -5.95 eV per atom

abc: 5.100 5.100 7.051
angles: 90.00 90.00 90.00
Element x y z (fractional)
1 Ni 0.631 0.119 0.756
2 Ni 0.119 0.631 0.244
3 Ni 0.119 0.119 0.244
4 Ni 0.631 0.119 0.244
5 Ni 0.375 0.375 0.000
6 Ni 0.631 0.631 0.244
7 Ni 0.119 0.631 0.756
8 Ni 0.375 0.875 0.000
9 Ni 0.119 0.119 0.756
10 Ni 0.875 0.375 0.500
11 Ni 0.875 0.375 0.000
12 Ni 0.875 0.875 0.000
13 V 0.875 0.875 0.500
14 Ni 0.375 0.875 0.500
15 Sb 0.375 0.375 0.500
16 Ni 0.631 0.631 0.756

[2]
An optimized crystal structure of VNiSb. Source: Alexandria, functional PBE-GGA.

Computed properties:
- M_tot: 0.0 Bohr magnetons per cell
- Uncorrected energy: -6.49 eV per atom

abc: 4.057 4.057 7.739
angles: 90.03 90.00 120.00
Element x y z (fractional)
1 Sb 0.666 0.333 0.195
2 V 0.667 0.333 0.564
3 Ni 0.000 0.000 0.344
4 Ni 0.000 0.000 0.656
5 V 0.333 0.667 0.436
6 Sb 0.334 0.667 0.805

[3]
An optimized crystal structure of V12Ni5Sb3. Source: Alexandria, functional PBE-GGA.

Computed properties:
- M_tot: 0.0 Bohr magnetons per cell
- Uncorrected energy: -6.79 eV per atom

abc: 12.245 12.245 12.245
angles: 109.47 109.47 109.47
Element x y z (fractional)
1 V 0.291 0.382 0.817
2 V 0.882 0.065 0.591
3 V 0.026 0.435 0.817
4 V 0.091 0.709 0.526
5 Ni 0.375 0.125 0.750
6 Ni 0.500 0.500 0.000
7 Ni 0.000 0.000 0.000
8 V 0.409 0.974 0.791
9 Sb 0.750 0.875 0.625
10 V 0.183 0.118 0.709
11 V 0.817 0.882 0.291
12 Ni 0.125 0.750 0.375
13 V 0.065 0.882 0.091
14 V 0.291 0.909 0.974
15 V 0.909 0.618 0.935
16 Ni 0.875 0.250 0.625
17 V 0.435 0.026 0.317
18 Ni 0.500 0.500 0.500
19 V 0.709 0.091 0.026
20 Ni 0.375 0.250 0.125
21 V 0.317 0.791 0.382
22 V 0.026 0.591 0.709
23 V 0.382 0.091 0.565
24 V 0.118 0.183 0.209
25 Sb 0.375 0.625 0.250
26 V 0.382 0.291 0.317
27 V 0.935 0.817 0.526
28 V 0.409 0.435 0.118
29 V 0.118 0.935 0.409
30 Sb 0.750 0.375 0.125
31 V 0.618 0.909 0.435
32 Ni 0.750 0.125 0.875
33 Ni 0.250 0.875 0.125
34 V 0.065 0.183 0.474
35 V 0.526 0.209 0.091
36 V 0.474 0.683 0.065
37 V 0.209 0.526 0.591
38 Ni 0.625 0.750 0.875
39 V 0.882 0.817 0.791
40 Ni 0.625 0.875 0.250
41 V 0.565 0.591 0.382
42 V 0.435 0.409 0.618
43 Sb 0.375 0.750 0.625
44 Ni 0.750 0.625 0.375
45 V 0.709 0.618 0.183
46 V 0.683 0.474 0.565
47 V 0.909 0.291 0.474
48 Sb 0.125 0.875 0.750
49 V 0.209 0.683 0.118
50 V 0.591 0.026 0.209
51 V 0.791 0.317 0.882
52 V 0.183 0.065 0.974
53 V 0.618 0.709 0.683
54 V 0.317 0.526 0.435
55 V 0.474 0.791 0.909
56 Ni 0.000 0.000 0.500
57 Sb 0.625 0.250 0.375
58 Sb 0.250 0.625 0.875
59 V 0.526 0.317 0.935
60 V 0.817 0.935 0.026
61 Sb 0.625 0.375 0.750
62 V 0.565 0.974 0.683
63 Ni 0.000 0.500 0.000
64 Sb 0.875 0.125 0.250
65 V 0.091 0.382 0.065
66 Ni 0.500 0.000 0.500
67 Sb 0.125 0.250 0.875
68 Ni 0.500 0.000 0.000
69 V 0.935 0.118 0.909
70 V 0.683 0.209 0.618
71 Sb 0.250 0.125 0.375
72 Ni 0.125 0.375 0.250
73 V 0.974 0.409 0.291
74 Ni 0.250 0.375 0.625
75 V 0.791 0.474 0.409
76 Ni 0.000 0.500 0.500
77 V 0.591 0.565 0.882
78 Sb 0.875 0.750 0.125
79 Ni 0.875 0.625 0.750
80 V 0.974 0.565 0.183

[4]
An optimized crystal structure of VNiSb2. Source: Alexandria, functional PBE-GGA.

Computed properties:
- M_tot: 1.0 Bohr magnetons per cell
- Uncorrected energy: -5.52 eV per atom

abc: 4.668 4.668 4.668
angles: 60.00 60.00 60.00
Element x y z (fractional)
1 Ni 0.500 0.500 0.500
2 Sb 0.250 0.250 0.250
3 Sb 0.750 0.750 0.750
4 V 0.000 0.000 0.000

[5]
An optimized crystal structure of V4Ni2Sb. Source: Alexandria, functional PBE-GGA.

Computed properties:
- M_tot: 3.1 Bohr magnetons per cell
- Uncorrected energy: -6.27 eV per atom

abc: 4.794 4.794 6.904
angles: 69.69 69.69 90.00
Element x y z (fractional)
1 V 0.000 0.500 0.000
2 V 0.780 0.780 0.439
3 Ni 0.404 0.404 0.192
4 Sb 0.000 0.000 0.000
5 V 0.220 0.220 0.561
6 Ni 0.596 0.596 0.808
7 V 0.500 0.000 0.000

[6]
An optimized crystal structure of VNi5Sb. Source: Alexandria, functional PBE-GGA.

Computed properties:
- M_tot: 0.0 Bohr magnetons per cell
- Uncorrected energy: -5.96 eV per atom

abc: 4.284 4.284 5.137
angles: 90.00 90.00 90.00
Element x y z (fractional)
1 Ni 0.000 0.500 0.761
2 Ni 0.500 0.000 0.239
3 Ni 0.500 0.500 0.500
4 Ni 0.500 0.000 0.761
5 V 0.500 0.500 0.000
6 Ni 0.000 0.500 0.239
7 Sb 0.000 0.000 0.500

[7]
An optimized crystal structure of VNi2Sb. Source: Alexandria, functional PBE-GGA.

Computed properties:
- M_tot: 2.1 Bohr magnetons per cell
- Uncorrected energy: -5.91 eV per atom

abc: 3.837 3.837 8.937
angles: 77.60 77.60 90.00
Element x y z (fractional)
1 Sb 0.750 0.250 0.500
2 Ni 0.606 0.125 0.250
3 Ni 0.144 0.625 0.250
4 V 0.500 0.500 0.000
5 Ni 0.875 0.856 0.750
6 Sb 0.000 0.000 0.000
7 Ni 0.375 0.394 0.750
8 V 0.250 0.750 0.500

[8]
An optimized crystal structure of VNiSb2. Source: Alexandria, functional PBE-GGA.

Computed properties:
- M_tot: 4.8 Bohr magnetons per cell
- Uncorrected energy: -5.47 eV per atom

abc: 7.212 7.212 5.967
angles: 52.82 52.82 90.00
Element x y z (fractional)
1 Ni 0.000 0.000 0.000
2 V 0.250 0.750 0.500
3 Sb 0.092 0.625 0.250
4 Ni 0.750 0.250 0.500
5 Sb 0.875 0.908 0.750
6 Sb 0.375 0.342 0.750
7 V 0.500 0.500 0.000
8 Sb 0.658 0.125 0.250

[9]
An optimized crystal structure of VNiSb. Source: Alexandria, functional PBE-GGA.

Computed properties:
- M_tot: 0.0 Bohr magnetons per cell
- Uncorrected energy: -6.18 eV per atom

abc: 3.491 3.491 4.617
angles: 112.21 112.21 90.00
Element x y z (fractional)
1 Ni 0.950 0.950 0.899
2 V 0.282 0.282 0.564
3 Sb 0.618 0.618 0.237

[10]
An optimized crystal structure of VNi12Sb3. Source: Alexandria, functional PBE-GGA.

Computed properties:
- M_tot: 0.0 Bohr magnetons per cell
- Uncorrected energy: -5.83 eV per atom

abc: 3.697 3.697 14.716
angles: 90.00 90.00 90.00
Element x y z (fractional)
1 Sb 0.000 0.000 0.244
2 Ni 0.500 0.500 0.500
3 Ni 0.500 0.500 0.000
4 Ni 0.000 0.500 0.372
5 Ni 0.500 0.500 0.756
6 Ni 0.000 0.500 0.113
7 Ni 0.500 0.000 0.113
8 Ni 0.500 0.500 0.244
9 Ni 0.500 0.000 0.372
10 Ni 0.000 0.500 0.628
11 Ni 0.000 0.500 0.887
12 Ni 0.500 0.000 0.887
13 Sb 0.000 0.000 0.500
14 Ni 0.500 0.000 0.628
15 Sb 0.000 0.000 0.756
16 V 0.000 0.000 0.000

[11]
An optimized crystal structure of V2NiSb4. Source: Alexandria, functional PBE-GGA.

Computed properties:
- M_tot: 4.1 Bohr magnetons per cell
- Uncorrected energy: -5.37 eV per atom

abc: 5.079 5.079 7.357
angles: 69.81 69.81 90.00
Element x y z (fractional)
1 Sb 0.195 0.195 0.610
2 Ni 0.000 0.000 0.000
3 V 0.399 0.399 0.202
4 Sb 0.500 0.000 0.000
5 V 0.601 0.601 0.798
6 Sb 0.805 0.805 0.390
7 Sb 0.000 0.500 0.000

[12]
An optimized crystal structure of NiSb2W. Source: Alexandria, functional PBE-GGA.

Computed properties:
- M_tot: 0.0 Bohr magnetons per cell
- Uncorrected energy: -6.20 eV per atom

abc: 4.693 4.693 4.693
angles: 60.00 60.00 60.00
Element x y z (fractional)
1 Sb 0.750 0.750 0.750
2 Ni 0.000 0.000 0.000
3 Sb 0.250 0.250 0.250
4 W 0.500 0.500 0.500